Density functional theory data (PBE) for an optimized crystal structure of Tb2PmAl.

Lattice parameters (Å, degrees): 3.5365 3.5365 9.1417 90.00 90.00 90.00
Closest atoms and distances in Å follow each position.
Fractional coordinates of all 4 atoms:
Tb1 0.0000 0.0000 0.2106  4 Al 3.16
Tb2 0.0000 0.0000 0.7894  4 Al 3.16
Pm1 0.5000 0.5000 0.5000  4 Pm 3.54, 8 Tb 3.64
Al1 0.5000 0.5000 0.0000  8 Tb 3.16

Results
Final energy in eV/atom: -4.63
Excess energy over the best structure of this formula in the dataset in eV/f.u.: 0.015
ΔH_f (0 K) in meV per atom: -187
Crystal system: tetragonal
V in Å³ per atom: 28.58

---

Density functional theory data (PBE) for an optimized crystal structure of Tb6PmAl2.

Lattice parameters (Å, degrees): 14.2778 14.2778 14.2778 160.71 160.71 27.41
Closest atoms and distances in Å follow each position.
Fractional coordinates of all 9 atoms:
Tb1 0.1455 0.6486 0.0000  1 Al 2.85
Tb2 0.2500 0.7500 0.5000  4 Al 2.99
Tb3 0.3514 0.3514 0.4969  1 Al 2.85
Tb4 0.6486 0.1455 0.0000  1 Al 2.85
Tb5 0.7500 0.2500 0.5000  4 Al 2.99
Tb6 0.8545 0.8545 0.5031  1 Al 2.85
Pm1 0.0000 0.0000 0.0000  4 Tb 3.31
Al1 0.3146 0.3146 0.0000  6 Tb 2.85-2.99
Al2 0.6854 0.6854 0.0000  6 Tb 2.85-2.99

Results
Final energy in eV/atom: -3.96
Excess energy over the best structure of this formula in the dataset in eV/f.u.: 5.807
ΔH_f (0 K) in meV per atom: 487
Crystal system: tetragonal
V in Å³ per atom: 35.28

---

Density functional theory data (PBE) for an optimized crystal structure of Tb2PmAl2.

Lattice parameters (Å, degrees): 5.6477 3.7191 13.3538 90.00 96.42 90.00
Closest atoms and distances in Å follow each position.
Fractional coordinates of all 10 atoms:
Tb1 0.1506 0.2500 0.1105  5 Al 2.91-3.07
Tb2 0.2599 0.7500 0.5377  4 Al 3.20-3.25, 4 Tb 3.53, 2 Pm 3.56
Tb3 0.7401 0.2500 0.4623  4 Al 3.20-3.25, 4 Tb 3.53, 2 Pm 3.56
Tb4 0.8494 0.7500 0.8895  5 Al 2.91-3.07
Pm1 0.3192 0.2500 0.7667  2 Al 3.18
Pm2 0.6808 0.7500 0.2333  2 Al 3.18
Al1 0.2068 0.2500 0.3418  5 Tb 3.07-3.25
Al2 0.3549 0.7500 0.9610  2 Al 2.62, 1 Tb 2.91
Al3 0.6451 0.2500 0.0390  2 Al 2.62, 1 Tb 2.91
Al4 0.7932 0.7500 0.6582  5 Tb 3.07-3.25

Results
Final energy in eV/atom: -4.44
Excess energy over the best structure of this formula in the dataset in eV/f.u.: 0.787
ΔH_f (0 K) in meV per atom: -142
Crystal system: monoclinic
V in Å³ per atom: 27.87

---

Density functional theory data (PBE) for an optimized crystal structure of Tb8PmAl2.

Lattice parameters (Å, degrees): 8.5973 8.5973 5.1882 98.06 98.06 78.21
Closest atoms and distances in Å follow each position.
Fractional coordinates of all 11 atoms:
Tb1 0.0846 0.0846 0.2873  10 Tb 3.40-3.76
Tb2 0.1332 0.6572 0.2277  1 Al 3.07, 1 Tb 3.36
Tb3 0.2681 0.2681 0.8851  2 Al 3.00-3.06, 1 Pm 3.04
Tb4 0.3428 0.8668 0.7723  1 Al 3.07, 1 Tb 3.36
Tb5 0.6572 0.1332 0.2277  1 Al 3.07, 1 Tb 3.36
Tb6 0.7319 0.7319 0.1149  2 Al 3.00-3.06, 1 Pm 3.04
Tb7 0.8668 0.3428 0.7723  1 Al 3.07, 1 Tb 3.36
Tb8 0.9154 0.9154 0.7127  10 Tb 3.40-3.76
Pm1 0.5000 0.5000 0.0000  4 Al 2.98-2.99, 2 Tb 3.04
Al1 0.3872 0.3872 0.4480  1 Al 2.96, 2 Pm 2.98-2.99, 4 Tb 3.00-3.07
Al2 0.6128 0.6128 0.5520  1 Al 2.96, 2 Pm 2.98-2.99, 4 Tb 3.00-3.07

Results
Final energy in eV/atom: -4.18
ΔH_f (0 K) in meV per atom: 301
Crystal system: monoclinic
V in Å³ per atom: 33.56

---

Density functional theory data (PBE) for an optimized crystal structure of Tb12Pm6Al.

Lattice parameters (Å, degrees): 8.4981 8.4981 8.4981 88.95 88.95 88.95
Closest atoms and distances in Å follow each position.
Fractional coordinates of all 19 atoms:
Tb1 0.0373 0.2803 0.9366  6 Tb 3.30-3.65, 3 Pm 3.35-3.45
Tb2 0.0634 0.9627 0.7197  6 Tb 3.30-3.65, 3 Pm 3.35-3.45
Tb3 0.1425 0.3169 0.4844  4 Pm 3.38-3.68, 1 Al 3.44, 4 Tb 3.48-3.65
Tb4 0.2803 0.9366 0.0373  6 Tb 3.30-3.65, 3 Pm 3.35-3.45
Tb5 0.3169 0.4844 0.1425  4 Pm 3.38-3.68, 1 Al 3.44, 4 Tb 3.48-3.65
Tb6 0.4844 0.1425 0.3169  4 Pm 3.38-3.68, 1 Al 3.44, 4 Tb 3.48-3.65
Tb7 0.5156 0.8575 0.6831  4 Pm 3.38-3.68, 1 Al 3.44, 4 Tb 3.48-3.65
Tb8 0.6831 0.5156 0.8575  4 Pm 3.38-3.68, 1 Al 3.44, 4 Tb 3.48-3.65
Tb9 0.7197 0.0634 0.9627  6 Tb 3.30-3.65, 3 Pm 3.35-3.45
Tb10 0.8575 0.6831 0.5156  4 Pm 3.38-3.68, 1 Al 3.44, 4 Tb 3.48-3.65
Tb11 0.9366 0.0373 0.2803  6 Tb 3.30-3.65, 3 Pm 3.35-3.45
Tb12 0.9627 0.7197 0.0634  6 Tb 3.30-3.65, 3 Pm 3.35-3.45
Pm1 0.2030 0.5927 0.7580  7 Tb 3.35-3.68, 1 Al 3.40, 2 Pm 3.44
Pm2 0.2420 0.7970 0.4073  7 Tb 3.35-3.68, 1 Al 3.40, 2 Pm 3.44
Pm3 0.4073 0.2420 0.7970  7 Tb 3.35-3.68, 1 Al 3.40, 2 Pm 3.44
Pm4 0.5927 0.7580 0.2030  7 Tb 3.35-3.68, 1 Al 3.40, 2 Pm 3.44
Pm5 0.7580 0.2030 0.5927  7 Tb 3.35-3.68, 1 Al 3.40, 2 Pm 3.44
Pm6 0.7970 0.4073 0.2420  7 Tb 3.35-3.68, 1 Al 3.40, 2 Pm 3.44
Al1 0.5000 0.5000 0.5000  6 Pm 3.40, 6 Tb 3.44

Results
Final energy in eV/atom: -4.53
ΔH_f (0 K) in meV per atom: 87
Crystal system: trigonal
V in Å³ per atom: 32.29

---

Density functional theory data (PBE) for an optimized crystal structure of TbPm2Al.

Lattice parameters (Å, degrees): 5.4405 5.4405 5.4405 60.00 60.00 60.00
Closest atoms and distances in Å follow each position.
Fractional coordinates of all 4 atoms:
Tb1 0.0000 0.0000 0.0000  8 Pm 3.33
Pm1 0.2500 0.2500 0.2500  4 Al 3.33, 4 Tb 3.33
Pm2 0.7500 0.7500 0.7500  4 Al 3.33, 4 Tb 3.33
Al1 0.5000 0.5000 0.5000  8 Pm 3.33

Results
Final energy in eV/atom: -4.52
Excess energy over the best structure of this formula in the dataset in eV/f.u.: 0.543
ΔH_f (0 K) in meV per atom: -51
Crystal system: cubic
V in Å³ per atom: 28.47